No. 1
5
Lattice="4.275 0.000 0.000 0.000 4.275 0.000 0.000 0.000 4.665" Properties=species:S:1:pos:R:3 comment="ZrBeCr2Te PBE-GGA relaxed" density_g_cm3=6.46 e_form_raw_mev_per_atom=681 sg=P4/mmm final_energy_ev_per_cell=-31.26 pbc="T T T"
Zr 0.000 0.000 0.000
Be 2.137 2.137 2.332
Cr 0.000 2.137 2.332
Cr 2.137 0.000 2.332
Te 2.137 2.137 0.000



No. 2
12
Lattice="2.197 1.268 6.936 -2.197 1.268 6.936 0.000 -2.537 6.936" Properties=species:S:1:pos:R:3 comment="Ti2Be9Cr PBE-GGA relaxed" formation_energy_mev_per_atom=-134 density_g_cm3=3.28 sg=R-3m final_energy_ev_per_cell=-60.55 pbc="T T T"
Ti 0.000 0.000 2.910
Ti 0.000 0.000 17.898
Be -1.106 -0.639 8.592
Be 0.000 0.000 6.944
Be 0.000 -1.278 12.216
Be -1.106 0.639 12.216
Be 0.000 0.000 10.404
Be 1.106 -0.639 8.592
Be 0.000 1.278 8.592
Be 0.000 0.000 13.863
Be 1.106 0.639 12.216
Cr 0.000 0.000 0.000



No. 3
19
Lattice="3.640 2.102 3.551 -3.640 2.102 3.551 0.000 -4.203 3.551" Properties=species:S:1:pos:R:3 comment="TiBe17Cr PBE-GGA relaxed" formation_energy_mev_per_atom=-134 density_g_cm3=2.58 sg=R3m final_energy_ev_per_cell=-83.41 pbc="T T T"
Ti 0.000 0.000 0.000
Be -1.104 -1.875 3.596
Be -2.176 -0.018 3.596
Be -1.823 -1.053 5.512
Be 0.000 0.000 2.551
Be 0.000 -2.127 5.360
Be -1.842 1.064 5.360
Be 1.104 -1.875 3.596
Be -1.072 1.893 3.596
Be 0.000 0.000 4.675
Be -1.769 -1.021 8.801
Be 2.176 -0.018 3.596
Be 1.072 1.893 3.596
Be 1.823 -1.053 5.512
Be 0.000 2.105 5.512
Be 1.842 1.064 5.360
Be 1.769 -1.021 8.801
Be 0.000 2.043 8.801
Cr 0.000 0.000 7.168



No. 4
4
Lattice="3.042 0.000 0.000 0.000 3.042 0.000 0.000 0.000 5.808" Properties=species:S:1:pos:R:3 comment="Ti2BeCr PBE-GGA relaxed" formation_energy_mev_per_atom=-47 density_g_cm3=4.84 sg=P4/mmm final_energy_ev_per_cell=-29.33 pbc="T T T"
Ti 0.000 0.000 1.447
Ti 0.000 0.000 4.361
Be 1.521 1.521 2.904
Cr 1.521 1.521 0.000



No. 5
5
Lattice="3.965 0.000 0.000 0.000 3.965 0.000 0.000 0.000 3.965" Properties=species:S:1:pos:R:3 comment="TiBe3Cr PBE-GGA relaxed" formation_energy_mev_per_atom=736 density_g_cm3=3.38 e_above_lowest_polymorph_mev_per_atom=0 sg=Pm-3m final_energy_ev_per_cell=-25.02 pbc="T T T"
Ti 0.000 0.000 0.000
Be 0.000 1.982 1.982
Be 1.982 0.000 1.982
Be 1.982 1.982 0.000
Cr 1.982 1.982 1.982



No. 6
16
Lattice="6.516 0.000 0.000 0.000 6.516 0.000 0.000 0.000 4.697" Properties=species:S:1:pos:R:3 comment="TiBeCr2 PBE-GGA relaxed" formation_energy_mev_per_atom=506 density_g_cm3=5.36 sg=I-42d final_energy_ev_per_cell=-115.37 pbc="T T T"
Ti 0.000 0.000 0.000
Ti 0.000 3.258 1.174
Ti 3.258 0.000 3.523
Ti 3.258 3.258 2.349
Be 0.000 0.000 2.349
Be 0.000 3.258 3.523
Be 3.258 0.000 1.174
Be 3.258 3.258 0.000
Cr 1.392 1.629 2.936
Cr 1.629 4.651 4.110
Cr 1.629 5.124 1.762
Cr 1.866 1.629 0.587
Cr 4.651 4.887 0.587
Cr 4.887 1.392 1.762
Cr 4.887 1.866 4.110
Cr 5.124 4.887 2.936



No. 7
12
Lattice="3.400 0.000 0.000 0.000 4.297 0.000 0.000 0.000 7.450" Properties=species:S:1:pos:R:3 comment="TiBe10Cr PBE-GGA relaxed" formation_energy_mev_per_atom=-114 density_g_cm3=2.90 sg=Pmmm final_energy_ev_per_cell=-56.14 pbc="T T T"
Ti 0.000 0.000 0.000
Be 0.000 0.000 2.538
Be 0.000 0.000 4.913
Be 0.000 2.148 1.307
Be 0.000 2.148 6.143
Be 1.700 0.000 3.725
Be 1.700 1.080 1.905
Be 1.700 1.080 5.546
Be 1.700 2.148 0.000
Be 1.700 3.217 1.905
Be 1.700 3.217 5.546
Cr 0.000 2.148 3.725



No. 8
5
Lattice="4.262 0.000 0.000 0.000 4.262 0.000 0.000 0.000 4.262" Properties=species:S:1:pos:R:3 comment="TiBe3Cr PBE-GGA relaxed" formation_energy_mev_per_atom=1598 density_g_cm3=2.72 e_above_lowest_polymorph_mev_per_atom=863 sg=Pm-3m final_energy_ev_per_cell=-20.71 pbc="T T T"
Ti 0.000 0.000 0.000
Be 0.000 0.000 2.131
Be 0.000 2.131 0.000
Be 2.131 0.000 0.000
Cr 2.131 2.131 2.131



No. 9
5
Lattice="4.237 0.000 0.000 0.000 4.237 0.000 0.000 0.000 4.237" Properties=species:S:1:pos:R:3 comment="TiBeCr3 PBE-GGA relaxed" formation_energy_mev_per_atom=1712 density_g_cm3=4.65 e_above_lowest_polymorph_mev_per_atom=1004 sg=Pm-3m final_energy_ev_per_cell=-31.93 pbc="T T T"
Ti 0.000 0.000 0.000
Be 2.119 2.119 2.119
Cr 0.000 0.000 2.119
Cr 0.000 2.119 0.000
Cr 2.119 0.000 0.000



No. 10
19
Lattice="3.745 2.162 3.571 -3.745 2.162 3.571 0.000 -4.325 3.571" Properties=species:S:1:pos:R:3 comment="Ti2Be16Cr PBE-GGA relaxed" formation_energy_mev_per_atom=-133 density_g_cm3=2.79 sg=R3m final_energy_ev_per_cell=-87.55 pbc="T T T"
Ti 0.000 0.000 0.000
Ti 0.000 0.000 3.447
Be 0.000 -2.122 1.764
Be -1.838 1.061 1.764
Be -1.879 -1.085 5.226
Be 0.000 -2.185 5.084
Be -1.892 1.092 5.084
Be -1.111 -1.914 6.997
Be -2.213 -0.005 6.997
Be 1.838 1.061 1.764
Be 1.111 -1.914 6.997
Be -1.102 1.919 6.997
Be 1.879 -1.085 5.226
Be 0.000 2.169 5.226
Be 0.000 0.000 8.218
Be 1.892 1.092 5.084
Be 2.213 -0.005 6.997
Be 1.102 1.919 6.997
Cr 0.000 0.000 5.995